No. 1
# Na3CuSn3O8

A relaxed structure of Na3CuSn3O8 (PBE, the Alexandria database).

Lattice parameters (Å, degrees): 6.433 6.431 6.676 118.81 90.00 120.01
Element x y z (fractional)
O 0.740 0.480 0.720
O 0.284 0.045 0.306
O 0.761 0.523 0.307
O 0.260 0.520 0.280
O 0.761 0.045 0.306
O 0.716 0.955 0.694
O 0.239 0.955 0.694
O 0.239 0.477 0.693
Cu 0.000 0.000 0.500
Na 0.500 0.500 0.000
Na 0.000 0.000 0.000
Na 0.000 0.500 0.000
Sn 0.000 0.500 0.500
Sn 0.500 0.000 0.500
Sn 0.500 0.500 0.500

Summary:
N(E_F) (states/eV per cell): 4.931
Uncorrected energy (Ry per atom): -0.3992

No. 2
# NaSr2Cu3O6

A relaxed structure of NaSr2Cu3O6 (PBE, the Alexandria database).

Lattice parameters (Å, degrees): 3.732 3.732 12.132 90.00 90.00 90.00
Element x y z (fractional)
Cu 0.000 0.000 0.000
Cu 0.000 0.000 0.378
Cu 0.000 0.000 0.622
O 0.500 0.000 0.642
O 0.000 0.500 0.358
O 0.000 0.000 0.146
O 0.000 0.000 0.854
O 0.500 0.000 0.358
O 0.000 0.500 0.642
Sr 0.500 0.500 0.790
Sr 0.500 0.500 0.210
Na 0.500 0.500 0.500

Summary:
N(E_F) (states/eV per cell): 9.658
Uncorrected energy (Ry per atom): -0.3874

No. 3
# NaSr2CuO

A relaxed structure of NaSr2CuO (PBE, the Alexandria database).

Lattice parameters (Å, degrees): 5.094 5.094 4.701 90.00 90.00 90.00
Element x y z (fractional)
Sr 0.000 0.500 0.000
Sr 0.500 0.000 0.000
Na 0.000 0.000 0.500
O 0.000 0.000 0.000
Cu 0.500 0.500 0.500

Summary:
N(E_F) (states/eV per cell): 1.795
Uncorrected energy (Ry per atom): -0.2694

Per-record formation energy from raw total energies, eV per formula unit: -21.73; -16.53; -4.59